Entry 1:
First-principles (PBE) data for a geometry-optimized Cs2HgP structure, as listed in Alexandria.

Computed properties:
* spin magnetization: 1.0 μB/f.u.
* formation enthalpy at 0 K: 0.170 eV per atom
* calculated density: 2.975 Mg/m³
* DOS at the Fermi energy: 8.7 states/eV/f.u.
* energy above the lowest structure with this stoichiometry: 372 meV per atom

Cell: 7.506 7.506 11.193 Å, 70.41 70.41 90.00°
Last column: magnetic moment on the atom in μB.
Atoms (fractional coordinates):
Hg  0.750  0.250  0.500  -0.01
Hg  0.000  0.000  0.000  -0.01
Cs  0.875  0.802  0.750  0.02
P  0.250  0.750  0.500  0.39
Cs  0.198  0.625  0.250  0.02
P  0.500  0.500  0.000  0.39
Cs  0.375  0.448  0.750  0.02
Cs  0.552  0.125  0.250  0.02



Entry 2:
First-principles (PBE) data for a geometry-optimized CsHgP structure, as listed in Alexandria.

Computed properties:
* spin magnetization: 0.0 μB/f.u.
* formation enthalpy at 0 K: -0.178 eV per atom
* calculated density: 4.993 Mg/m³
* DOS at the Fermi energy: 2.1 states/eV/f.u.

Cell: 4.708 6.698 8.606 Å, 101.99 74.09 110.61°
Atoms (fractional coordinates):
P  0.965  0.836  0.569
Cs  0.721  0.254  0.476
Cs  0.295  0.816  0.887
P  0.080  0.816  0.319
Hg  0.534  0.613  0.208
Hg  0.954  0.279  0.032



Entry 3:
First-principles (PBE) data for a geometry-optimized Cs2HgP2 structure, as listed in Alexandria.

Computed properties:
* spin magnetization: 0.0 μB/f.u.
* formation enthalpy at 0 K: -0.161 eV per atom
* calculated density: 4.181 Mg/m³
* DOS at the Fermi energy: 3.5 states/eV/f.u.
* energy above the lowest structure with this stoichiometry: 65 meV per atom

Cell: 6.600 6.600 6.600 Å, 117.67 117.67 94.09°
Atoms (fractional coordinates):
P  0.386  0.386  0.000
Cs  0.750  0.250  0.500
P  0.614  0.614  0.000
Cs  0.250  0.750  0.500
Hg  0.000  0.000  0.000



Entry 4:
First-principles (PBE) data for a geometry-optimized CsHgP structure, as listed in Alexandria.

Computed properties:
* spin magnetization: 0.0 μB/f.u.
* formation enthalpy at 0 K: -0.221 eV per atom
* calculated density: 4.951 Mg/m³
* DOS at the Fermi energy: 0.0 states/eV/f.u.

Cell: 6.745 8.738 4.992 Å, 90.02 111.74 114.54°
Atoms (fractional coordinates):
Cs  0.725  0.481  0.093
Hg  0.426  0.710  0.442
P  0.394  0.040  0.927
Cs  0.945  0.975  0.203
Hg  0.627  0.120  0.544
P  0.237  0.771  0.848



Entry 5:
First-principles (PBE) data for a geometry-optimized Cs2HgPPb structure, as listed in Alexandria.

Computed properties:
* spin magnetization: 0.0 μB/f.u.
* formation enthalpy at 0 K: -0.057 eV per atom
* calculated density: 4.455 Mg/m³
* DOS at the Fermi energy: 3.5 states/eV/f.u.

Cell: 7.040 7.040 5.299 Å, 90.00 90.00 90.00°
Atoms (fractional coordinates):
Pb  0.000  0.000  0.500
Hg  0.500  0.500  0.500
P  0.000  0.000  0.000
Cs  0.000  0.500  0.000
Cs  0.500  0.000  0.000



Entry 6:
First-principles (PBE) data for a geometry-optimized CsHgPS2 structure, as listed in Alexandria.

Computed properties:
* spin magnetization: 3.7 μB/f.u.
* calculated density: 3.249 Mg/m³
* DOS at the Fermi energy: 4.3 states/eV/f.u.
* uncorrected formation energy: 1.320 eV per atom
* energy above the lowest structure with this stoichiometry: 958 meV per atom

Cell: 5.556 5.556 7.096 Å, 90.00 90.00 90.00°
Last column: magnetic moment on the atom in μB.
Atoms (fractional coordinates):
P  0.000  0.000  0.500  1.15
Cs  0.000  0.000  0.000  0.02
S  0.500  0.000  0.000  0.28
S  0.000  0.500  0.000  0.28
Hg  0.500  0.500  0.500  0.04



Entry 7:
First-principles (PBE) data for a geometry-optimized Cs3HgP2S6 structure, as listed in Alexandria.

Computed properties:
* spin magnetization: 1.0 μB/f.u.
* calculated density: 3.007 Mg/m³
* DOS at the Fermi energy: 2.0 states/eV/f.u.
* uncorrected formation energy: -0.667 eV per atom

Cell: 7.401 7.401 9.939 Å, 90.00 90.00 120.00°
Last column: magnetic moment on the atom in μB.
Atoms (fractional coordinates):
S  0.179  0.358  0.278  0.04
Cs  0.000  0.000  0.000  0.00
Cs  0.333  0.667  0.638  0.00
Cs  0.667  0.333  0.362  0.00
S  0.358  0.179  0.722  0.04
Hg  0.000  0.000  0.500  0.01
S  0.179  0.821  0.278  0.04
P  0.667  0.333  0.760  0.10
S  0.821  0.179  0.722  0.04
P  0.333  0.667  0.240  0.10
S  0.821  0.642  0.722  0.04
S  0.642  0.821  0.278  0.04



Entry 8:
First-principles (PBE) data for a geometry-optimized CsHg2P2S7 structure, as listed in Alexandria.

Computed properties:
* spin magnetization: 0.6 μB/f.u.
* calculated density: 3.200 Mg/m³
* DOS at the Fermi energy: 4.0 states/eV/f.u.
* uncorrected formation energy: -0.231 eV per atom

Cell: 6.479 6.479 12.294 Å, 74.72 74.72 60.00°
Last column: magnetic moment on the atom in μB.
Atoms (fractional coordinates):
S  0.640  0.235  0.251  0.03
S  0.126  0.765  0.749  0.03
P  0.062  0.062  0.813  0.08
S  0.874  0.640  0.251  0.03
P  0.938  0.938  0.187  0.08
Cs  0.500  0.500  0.500  0.00
S  0.235  0.874  0.251  0.03
S  0.765  0.360  0.749  0.03
S  0.000  0.000  0.000  0.02
Hg  0.741  0.741  0.778  0.00
S  0.360  0.126  0.749  0.03
Hg  0.259  0.259  0.222  0.00



Entry 9:
First-principles (PBE) data for a geometry-optimized Cs2HgP2S6 structure, as listed in Alexandria.

Computed properties:
* spin magnetization: 0.0 μB/f.u.
* calculated density: 2.542 Mg/m³
* DOS at the Fermi energy: 0.0 states/eV/f.u.
* uncorrected formation energy: -0.579 eV per atom

Cell: 7.315 7.315 11.003 Å, 70.58 70.58 60.00°
Atoms (fractional coordinates):
Cs  0.218  0.218  0.346
Cs  0.782  0.782  0.654
P  0.565  0.565  0.306
P  0.435  0.435  0.694
S  0.257  0.721  0.302
S  0.743  0.279  0.698
S  0.721  0.721  0.302
S  0.721  0.257  0.302
S  0.279  0.743  0.698
S  0.279  0.279  0.698
Hg  0.000  0.000  0.000



Entry 10:
First-principles (PBE) data for a geometry-optimized Cs2HgPS4 structure, as listed in Alexandria.

Computed properties:
* spin magnetization: 0.0 μB/f.u.
* calculated density: 3.790 Mg/m³
* DOS at the Fermi energy: 6.3 states/eV/f.u.
* uncorrected formation energy: -0.639 eV per atom

Cell: 7.097 7.097 7.097 Å, 105.34 111.58 111.58°
Atoms (fractional coordinates):
S  0.699  0.454  0.509
P  0.000  0.500  0.500
Hg  0.500  0.250  0.750
S  0.944  0.491  0.190
Cs  0.500  0.750  0.250
S  0.301  0.810  0.754
Cs  0.000  0.000  0.000
S  0.056  0.246  0.546



Entry 11:
First-principles (PBE) data for a geometry-optimized CsHgPS2 structure, as listed in Alexandria.

Computed properties:
* spin magnetization: 1.6 μB/f.u.
* calculated density: 4.889 Mg/m³
* DOS at the Fermi energy: 4.9 states/eV/f.u.
* uncorrected formation energy: 0.363 eV per atom
* energy above the lowest structure with this stoichiometry: 0 meV per atom

Cell: 5.312 5.312 5.160 Å, 90.00 90.00 90.00°
Last column: magnetic moment on the atom in μB.
Atoms (fractional coordinates):
Cs  0.500  0.500  0.500  0.02
S  0.500  0.000  0.000  0.06
S  0.000  0.500  0.000  0.06
Hg  0.000  0.000  0.000  0.01
P  0.000  0.000  0.500  0.63



Entry 12:
First-principles (PBE) data for a geometry-optimized Cs2HgSbP structure, as listed in Alexandria.

Computed properties:
* spin magnetization: 0.0 μB/f.u.
* calculated density: 4.160 Mg/m³
* DOS at the Fermi energy: 2.1 states/eV/f.u.
* uncorrected formation energy: -0.134 eV per atom

Cell: 6.980 6.980 5.072 Å, 90.00 90.00 90.00°
Atoms (fractional coordinates):
Cs  0.000  0.500  0.000
Hg  0.500  0.500  0.500
Cs  0.500  0.000  0.000
Sb  0.000  0.000  0.500
P  0.000  0.000  0.000



Entry 13:
First-principles (PBE) data for a geometry-optimized Cs2HgP2Se6 structure, as listed in Alexandria.

Computed properties:
* spin magnetization: 0.0 μB/f.u.
* calculated density: 4.436 Mg/m³
* DOS at the Fermi energy: 1.8 states/eV/f.u.
* uncorrected formation energy: -0.467 eV per atom

Cell: 7.239 7.897 7.626 Å, 102.85 90.00 117.28°
Atoms (fractional coordinates):
P  0.984  0.968  0.839
P  0.016  0.032  0.161
Se  0.680  0.871  0.206
Hg  0.500  0.000  0.500
Se  0.320  0.129  0.794
Se  0.173  0.347  0.274
Se  0.809  0.129  0.794
Se  0.827  0.653  0.726
Se  0.191  0.871  0.206
Cs  0.297  0.593  0.793
Cs  0.703  0.407  0.207



Entry 14:
First-principles (PBE) data for a geometry-optimized CsHgPSe4 structure, as listed in Alexandria.

Computed properties:
* spin magnetization: 0.0 μB/f.u.
* calculated density: 4.509 Mg/m³
* uncorrected formation energy: -0.408 eV per atom

Cell: 6.708 7.851 9.941 Å, 90.00 106.85 90.00°
Atoms (fractional coordinates):
Se  0.021  0.476  0.713
Se  0.684  0.250  0.887
Se  0.316  0.750  0.113
Hg  0.737  0.750  0.377
Se  0.446  0.750  0.496
Se  0.979  0.976  0.287
Hg  0.263  0.250  0.623
Se  0.021  0.024  0.713
Cs  0.261  0.250  0.079
P  0.186  0.750  0.292
Cs  0.739  0.750  0.921
P  0.814  0.250  0.708
Se  0.554  0.250  0.504
Se  0.979  0.524  0.287



Entry 15:
First-principles (PBE) data for a geometry-optimized Cs2HgPSe4 structure, as listed in Alexandria.

Computed properties:
* spin magnetization: 0.0 μB/f.u.
* calculated density: 4.512 Mg/m³
* DOS at the Fermi energy: 5.2 states/eV/f.u.
* uncorrected formation energy: -0.531 eV per atom

Cell: 6.570 8.014 12.888 Å, 84.00 75.23 65.80°
Atoms (fractional coordinates):
Se  0.334  0.811  0.109
Cs  0.570  0.500  0.860
Cs  0.180  0.000  0.640
Hg  0.750  0.500  0.500
Se  0.895  0.689  0.609
Se  0.416  0.689  0.391
Se  0.193  0.311  0.391
Se  0.557  0.189  0.109
Hg  0.000  0.000  0.000
Se  0.496  0.311  0.609
Cs  0.930  0.500  0.140
Se  0.254  0.189  0.891
Cs  0.820  0.000  0.360
Se  0.855  0.811  0.891
P  0.500  0.000  0.000
P  0.250  0.500  0.500



Entry 16:
First-principles (PBE) data for a geometry-optimized CsHg2PSe4 structure, as listed in Alexandria.

Computed properties:
* spin magnetization: 0.0 μB/f.u.
* calculated density: 5.486 Mg/m³
* DOS at the Fermi energy: 0.9 states/eV/f.u.
* uncorrected formation energy: -0.320 eV per atom

Cell: 7.575 7.575 7.083 Å, 122.18 122.18 90.24°
Atoms (fractional coordinates):
Se  0.531  0.531  0.718
Se  0.810  0.467  0.277
P  0.499  0.499  0.999
Se  0.187  0.187  0.718
Hg  0.753  0.253  0.507
Cs  0.999  0.999  0.999
Se  0.467  0.810  0.277
Hg  0.253  0.753  0.507



Entry 17:
First-principles (PBE) data for a geometry-optimized Cs2TlHgP structure, as listed in Alexandria.

Computed properties:
* spin magnetization: 0.0 μB/f.u.
* formation enthalpy at 0 K: -0.060 eV per atom
* calculated density: 4.381 Mg/m³
* DOS at the Fermi energy: 5.4 states/eV/f.u.

Cell: 7.058 7.058 5.339 Å, 90.00 90.00 90.00°
Atoms (fractional coordinates):
Cs  0.500  0.000  0.000
Hg  0.500  0.500  0.500
P  0.000  0.000  0.000
Cs  0.000  0.500  0.000
Tl  0.000  0.000  0.500



Entry 18:
First-principles (PBE) data for a geometry-optimized Cs2ZnHgP structure, as listed in Alexandria.

Computed properties:
* spin magnetization: 0.0 μB/f.u.
* formation enthalpy at 0 K: -0.153 eV per atom
* calculated density: 4.055 Mg/m³
* DOS at the Fermi energy: 2.7 states/eV/f.u.
* energy above the lowest structure with this stoichiometry: 0 meV per atom

Cell: 7.140 7.140 4.522 Å, 90.00 90.00 90.00°
Atoms (fractional coordinates):
Cs  0.000  0.500  0.000
P  0.000  0.000  0.000
Zn  0.000  0.000  0.500
Hg  0.500  0.500  0.500
Cs  0.500  0.000  0.000



Entry 19:
First-principles (PBE) data for a geometry-optimized CsPaHg structure, as listed in Alexandria.

Computed properties:
* spin magnetization: 0.0 μB/f.u.
* formation enthalpy at 0 K: 0.121 eV per atom
* calculated density: 8.155 Mg/m³
* DOS at the Fermi energy: 4.5 states/eV/f.u.

Cell: 5.453 3.972 16.342 Å, 104.41 92.77 43.20°
Atoms (fractional coordinates):
Cs  0.094  0.811  0.663
Hg  0.465  0.112  0.832
Pa  0.136  0.660  0.044
Cs  0.906  0.189  0.337
Pa  0.864  0.340  0.956
Hg  0.535  0.888  0.168



Entry 20:
First-principles (PBE) data for a geometry-optimized Cs2PaHg2S6 structure, as listed in Alexandria.

Computed properties:
* spin magnetization: 0.0 μB/f.u.
* calculated density: 4.826 Mg/m³
* DOS at the Fermi energy: 9.7 states/eV/f.u.
* uncorrected formation energy: -0.833 eV per atom

Cell: 7.513 7.562 8.404 Å, 111.62 90.00 119.79°
Atoms (fractional coordinates):
S  0.285  0.569  0.404
S  0.692  0.923  0.239
Cs  0.294  0.588  0.835
S  0.231  0.923  0.239
Hg  0.920  0.839  0.695
Hg  0.080  0.161  0.305
Cs  0.706  0.412  0.165
S  0.769  0.077  0.761
Pa  0.500  0.000  0.500
S  0.308  0.077  0.761
S  0.715  0.431  0.596



Entry 21:
First-principles (PBE) data for a geometry-optimized CsPaHgS4 structure, as listed in Alexandria.

Computed properties:
* spin magnetization: 0.0 μB/f.u.
* calculated density: 5.075 Mg/m³
* uncorrected formation energy: -1.022 eV per atom

Cell: 7.378 9.320 8.170 Å, 115.99 90.00 113.32°
Atoms (fractional coordinates):
S  0.680  0.360  0.220
S  0.724  0.998  0.749
S  0.320  0.640  0.780
Cs  0.168  0.337  0.918
S  0.726  0.002  0.251
S  0.680  0.360  0.641
Pa  0.500  0.000  0.500
S  0.320  0.640  0.359
S  0.276  0.002  0.251
Hg  0.500  0.500  0.500
Hg  0.000  0.500  0.500
Pa  0.500  0.000  0.000
S  0.274  0.998  0.749
Cs  0.832  0.663  0.082



Entry 22:
First-principles (PBE) data for a geometry-optimized Cs2PaHgS4 structure, as listed in Alexandria.

Computed properties:
* spin magnetization: 0.0 μB/f.u.
* calculated density: 4.505 Mg/m³
* DOS at the Fermi energy: 5.0 states/eV/f.u.
* uncorrected formation energy: -0.995 eV per atom

Cell: 7.389 7.389 7.389 Å, 100.04 114.38 114.38°
Atoms (fractional coordinates):
Cs  0.500  0.750  0.250
Cs  0.000  0.000  0.000
S  0.436  0.891  0.771
S  0.120  0.229  0.665
S  0.880  0.545  0.109
Hg  0.000  0.500  0.500
Pa  0.500  0.250  0.750
S  0.564  0.335  0.455



Entry 23:
First-principles (PBE) data for a geometry-optimized Cs2PaHg2Se6 structure, as listed in Alexandria.

Computed properties:
* spin magnetization: 0.0 μB/f.u.
* calculated density: 5.361 Mg/m³
* DOS at the Fermi energy: 8.4 states/eV/f.u.
* uncorrected formation energy: -0.794 eV per atom

Cell: 7.836 7.853 8.744 Å, 110.92 90.00 119.93°
Atoms (fractional coordinates):
Se  0.315  0.084  0.768
Hg  0.076  0.152  0.302
Se  0.231  0.916  0.232
Se  0.284  0.569  0.411
Hg  0.924  0.848  0.698
Se  0.685  0.916  0.232
Se  0.716  0.431  0.589
Pa  0.500  0.000  0.500
Se  0.769  0.084  0.768
Cs  0.293  0.586  0.831
Cs  0.707  0.414  0.169



Entry 24:
First-principles (PBE) data for a geometry-optimized Cs2Pa3HgSe8 structure, as listed in Alexandria.

Computed properties:
* spin magnetization: 1.1 μB/f.u.
* calculated density: 5.358 Mg/m³
* DOS at the Fermi energy: 8.1 states/eV/f.u.
* uncorrected formation energy: -1.257 eV per atom

Cell: 8.479 8.479 10.172 Å, 65.37 65.37 60.00°
Last column: magnetic moment on the atom in μB.
Atoms (fractional coordinates):
Hg  0.860  0.860  0.419  0.00
Se  0.765  0.765  0.168  -0.02
Se  0.765  0.302  0.168  -0.02
Cs  0.140  0.140  0.579  0.00
Se  0.275  0.275  0.174  -0.01
Pa  0.500  0.997  0.003  0.41
Se  0.236  0.236  0.835  -0.02
Se  0.302  0.765  0.168  -0.02
Pa  0.500  0.500  0.003  0.41
Se  0.692  0.236  0.835  -0.02
Se  0.723  0.723  0.831  -0.02
Cs  0.500  0.500  0.500  0.00
Se  0.236  0.692  0.835  -0.02
Pa  0.997  0.500  0.003  0.41